# 1
First-principles (GGA-PBE) data for a geometry-optimized MnBe2Tl structure, as listed in Alexandria via LeMat-Bulk.

M_tot = 1.1 μB per formula unit
crystal system = monoclinic
space-group type = C2/m
density of states at the Fermi level = 0.580 states/eV per atom
calculated formation energy = 515 meV/atom
energy above the most stable polymorph in this dataset = 0.50 eV/f.u.
final energy = -4.232 eV/atom

a b c (Å): 8.093 3.131 4.556
angles (deg): 90.00 101.45 90.00
Fractional coordinates of all 8 atoms:
Mn: 0.000 0.000 0.000
Mn: 0.500 0.500 0.000
Be: 0.207 0.500 0.103
Be: 0.293 0.000 0.897
Be: 0.707 0.000 0.103
Be: 0.793 0.500 0.897
Tl: 0.000 0.500 0.500
Tl: 0.500 0.000 0.500

***

# 2
First-principles (GGA-PBE) data for a geometry-optimized Ho3InRu structure, as listed in Alexandria via LeMat-Bulk.

M_tot = 0.0 μB per formula unit
crystal system = monoclinic
space-group type = C2/m
density of states at the Fermi level = 0.670 states/eV per atom
calculated formation energy = -320 meV/atom
energy above the most stable polymorph in this dataset = 0.48 eV/f.u.
final energy = -5.469 eV/atom

a b c (Å): 6.529 6.529 8.899
angles (deg): 110.63 110.63 49.17
Fractional coordinates of all 10 atoms:
Ho: 0.105 0.105 0.233
Ho: 0.171 0.171 0.676
Ho: 0.395 0.395 0.105
Ho: 0.605 0.605 0.895
Ho: 0.829 0.829 0.324
Ho: 0.895 0.895 0.767
In: 0.385 0.385 0.532
In: 0.615 0.615 0.468
Ru: 0.146 0.146 0.959
Ru: 0.854 0.854 0.041

***

# 3
First-principles (GGA-PBE) data for a geometry-optimized HfCu3Ni structure, as listed in Alexandria via LeMat-Bulk.

M_tot = 0.0 μB per formula unit
crystal system = monoclinic
space-group type = P2_1/m
density of states at the Fermi level = 0.695 states/eV per atom
calculated formation energy = -129 meV/atom
energy above the most stable polymorph in this dataset = 0.00 eV/f.u.
final energy = -5.734 eV/atom

a b c (Å): 4.487 5.019 6.431
angles (deg): 90.00 109.90 90.00
Fractional coordinates of all 10 atoms:
Hf: 0.097 0.250 0.190
Hf: 0.903 0.750 0.810
Cu: 0.310 0.501 0.619
Cu: 0.310 0.999 0.619
Cu: 0.488 0.250 0.964
Cu: 0.512 0.750 0.036
Cu: 0.690 0.001 0.381
Cu: 0.690 0.499 0.381
Ni: 0.126 0.750 0.260
Ni: 0.874 0.250 0.740